Entry from Alexandria: a relaxed Pm3Sm4Zn crystal (PBE-GGA).

Cell: 3.6441 3.6441 19.0876 Å, 90.00 90.00 90.00°
Space group P4/mmm (No. 123)
Inequivalent atoms, fractional coordinates:
Pm 0.0000 0.0000 0.0000 x1
Pm 0.0000 0.0000 0.2691 x2
Sm 0.5000 0.5000 0.1349 x2
Sm 0.5000 0.5000 0.4056 x2
Zn 0.0000 0.0000 0.5000 x1

The calculation puts the total moment at 0.00 Bohr magnetons per cell. Its formation energy is -70 meV per atom. The density is 7.22 g/cm³. As for the volume: 31.7 A^3/atom.

Entry from Alexandria: a relaxed Pm2SmZn crystal (PBE-GGA).

Cell: 7.7104 7.7104 7.7104 Å, 90.00 90.00 90.00°
Space group Fm-3m (No. 225)
Inequivalent atoms, fractional coordinates:
Pm 0.2500 0.2500 0.2500 x8
Sm 0.0000 0.0000 0.0000 x4
Zn 0.0000 0.0000 0.5000 x4

The calculation puts the total moment at 0.00 Bohr magnetons per cell. The energy above the most stable polymorph in this dataset comes out at 0.207 eV/atom. Its formation energy is 56 meV per atom. The density is 7.33 g/cm³. As for the volume: 28.6 A^3/atom.